Record 1
DFT (PBE) results for Ac8Pm6Er after structural relaxation.

a b c (Å): 10.005 10.005 7.254
angles (deg): 90.00 90.00 120.00
Element x y z (fractional)
Ac  0.046  0.695  0.119
Ac  0.305  0.351  0.119
Ac  0.333  0.667  0.734
Ac  0.351  0.046  0.881
Ac  0.649  0.954  0.119
Ac  0.667  0.333  0.266
Ac  0.695  0.649  0.881
Ac  0.954  0.305  0.881
Pm  0.041  0.371  0.400
Pm  0.329  0.959  0.400
Pm  0.371  0.329  0.600
Pm  0.629  0.671  0.400
Pm  0.671  0.041  0.600
Pm  0.959  0.629  0.600
Er  0.000  0.000  0.500

Values from the calculation:
Energy relative to the elements = 0.234 eV/atom


Record 2
DFT (PBE) results for MgVH3 after structural relaxation.

a b c (Å): 3.503 3.503 3.503
angles (deg): 90.00 90.00 90.00
Element x y z (fractional)
Mg  0.000  0.000  0.000
V  0.500  0.500  0.500
H  0.000  0.500  0.500
H  0.500  0.000  0.500
H  0.500  0.500  0.000

Values from the calculation:
Energy relative to the lowest polymorph listed for this composition = 0 meV/atom